Entry from Alexandria via LeMat-Bulk: a relaxed structure of KV2CdCl8 (PBE).

Cell lengths 6.4073, 6.1492, 7.6601 Å; angles 89.98, 89.99, 86.01 degrees
Last column: nearest neighbours and their distance in Å.
Sites, in units of the cell vectors:
K (0.0000, 0.0000, 0.5000)  6 Cl 2.87-3.12
V (0.5000, 0.5000, 0.7544)  6 Cl 2.43-2.50
V (0.5000, 0.5000, 0.2456)  6 Cl 2.43-2.50
Cd (0.0000, 0.0000, 0.0000)  4 Cl 2.63
Cl (0.1731, 0.7230, 0.2276)  1 V 2.43, 1 Cd 2.63
Cl (0.6316, 0.7199, 0.9999)  2 V 2.50
Cl (0.8268, 0.2769, 0.2275)  1 V 2.43, 1 Cd 2.63
Cl (0.8269, 0.2770, 0.7724)  1 V 2.43, 1 Cd 2.63
Cl (0.3684, 0.2801, 0.0001)  2 V 2.50
Cl (0.1732, 0.7231, 0.7725)  1 V 2.43, 1 Cd 2.63
Cl (0.6228, 0.7045, 0.4999)  2 V 2.48
Cl (0.3772, 0.2955, 0.5001)  2 V 2.48

Summary:
crystal system	monoclinic
calculated density	2.962	g cm⁻³
final energy	-4.14	eV/atom
space-group type	P2/m, No. 10
density of states at the Fermi level	0.90	states/eV/atom